The following is a DFT calculation (PBE-GGA) of a geometry-optimized CaFe3Ag structure.

Calculated values
The density of states at the Fermi level comes out at 1.123 states/eV/atom. The space group is No. 221. The calculation puts the formation energy at 1.917 eV per atom. The calculation puts the uncorrected energy at -4.1313 eV per atom. The energy above the most stable polymorph in this dataset is 783 meV/atom. Its volume is 94 Å³ per cell.

a = 4.552 Å, b = 4.552 Å, c = 4.552 Å
α = 90.00°, β = 90.00°, γ = 90.00°
Sites, in units of the cell vectors:
Ca (0.000, 0.000, 0.000)
Fe (0.000, 0.000, 0.500)
Fe (0.000, 0.500, 0.000)
Fe (0.500, 0.000, 0.000)
Ag (0.500, 0.500, 0.500)